[1]
TmHgTe3 | Alexandria via LeMat-Bulk | PBE-GGA | relaxed; crystal system = monoclinic; energy relative to the elements, uncorrected = -3.01 eV per formula unit
1.0
-0.4836 4.2484 1.4983
-2.1072 1.7908 -5.7580
-10.2043 -3.6907 7.1710
Te Hg Tm
6 2 2
direct
0.7500 0.8330 0.0739
0.2500 0.1670 0.9261
0.7500 0.7941 0.5967
0.7500 0.4982 0.2148
0.2500 0.2059 0.4033
0.2500 0.5018 0.7852
0.2500 0.0735 0.6314
0.7500 0.9265 0.3686
0.2500 0.1659 0.1640
0.7500 0.8341 0.8360

---

[2]
Tm3HgTe | Alexandria via LeMat-Bulk | PBE-GGA | relaxed; crystal system = orthorhombic; energy relative to the elements, uncorrected = -2.78 eV per formula unit
1.0
4.4000 0.0000 0.0000
0.0000 10.9767 0.0000
0.0000 0.0000 6.2456
Hg Tm Te
2 6 2
direct
0.0000 0.6398 0.3109
0.0000 0.3602 0.8109
0.5000 0.5000 0.0609
0.5000 0.1818 0.8109
0.5000 0.8182 0.3109
0.0000 0.2927 0.3109
0.5000 0.5000 0.5609
0.0000 0.7073 0.8109
0.5000 0.1006 0.3109
0.5000 0.8994 0.8109

---

[3]
TmHgTe | Alexandria via LeMat-Bulk | PBE-GGA | relaxed; crystal system = orthorhombic; energy relative to the elements, uncorrected = -1.93 eV per formula unit; polymorph energy (0 for the lowest one) = 92 meV per atom
1.0
4.2416 0.0009 0.0000
-0.0009 4.2420 0.0000
0.0000 0.0000 6.1398
Te Hg Tm
1 1 1
direct
0.5903 0.2718 0.0000
0.0903 0.7733 0.5000
0.0903 0.7719 0.0000